Record 1
First-principles (PBE) data for a relaxed structure of NaNpTl2F6, as listed in the Alexandria database.

a = 6.429 Å, b = 6.429 Å, c = 6.534 Å
α = 120.37°, β = 120.37°, γ = 60.14°
Fractional coordinates of all 10 atoms:
Na (0.000, 0.000, 0.000)
Np (0.500, 0.500, 0.500)
Tl (0.252, 0.252, 0.761)
Tl (0.748, 0.748, 0.239)
F (0.210, 0.703, 0.213)
F (0.254, 0.254, 0.328)
F (0.297, 0.790, 0.787)
F (0.703, 0.210, 0.213)
F (0.746, 0.746, 0.672)
F (0.790, 0.297, 0.787)

Calculated values
VASP energy, eV for the cell shown: -56.52
Total magnetization, Bohr magnetons per cell: 3.9



Record 2
First-principles (PBE) data for a relaxed structure of NaNpTlF6, as listed in the Alexandria database.

a = 6.167 Å, b = 6.167 Å, c = 11.326 Å
α = 90.00°, β = 90.00°, γ = 120.00°
Fractional coordinates of all 18 atoms:
Na (0.333, 0.667, 0.250)
Na (0.667, 0.333, 0.750)
Np (0.333, 0.667, 0.750)
Np (0.667, 0.333, 0.250)
Tl (0.000, 0.000, 0.000)
Tl (0.000, 0.000, 0.500)
F (0.024, 0.383, 0.647)
F (0.024, 0.641, 0.853)
F (0.359, 0.383, 0.853)
F (0.359, 0.976, 0.647)
F (0.383, 0.024, 0.147)
F (0.383, 0.359, 0.353)
F (0.617, 0.641, 0.647)
F (0.617, 0.976, 0.853)
F (0.641, 0.024, 0.353)
F (0.641, 0.617, 0.147)
F (0.976, 0.359, 0.147)
F (0.976, 0.617, 0.353)

Calculated values
VASP energy, eV for the cell shown: -109.35
Total magnetization, Bohr magnetons per cell: 6.0



Record 3
First-principles (PBE) data for a relaxed structure of Na2NpZnF8, as listed in the Alexandria database.

a = 4.021 Å, b = 7.593 Å, c = 5.471 Å
α = 90.00°, β = 94.57°, γ = 90.00°
Fractional coordinates of all 12 atoms:
Na (0.000, 0.227, 0.000)
Na (0.000, 0.773, 0.000)
Np (0.500, 0.500, 0.500)
Zn (0.500, 0.000, 0.500)
F (0.016, 0.500, 0.268)
F (0.116, 0.000, 0.276)
F (0.447, 0.264, 0.733)
F (0.447, 0.736, 0.733)
F (0.553, 0.264, 0.267)
F (0.553, 0.736, 0.267)
F (0.884, 0.000, 0.724)
F (0.984, 0.500, 0.732)

Calculated values
VASP energy, eV for the cell shown: -66.85
Total magnetization, Bohr magnetons per cell: 3.0



Record 4
First-principles (PBE) data for a relaxed structure of NaNpZnF6, as listed in the Alexandria database.

a = 5.848 Å, b = 5.848 Å, c = 9.334 Å
α = 90.00°, β = 90.00°, γ = 120.00°
Fractional coordinates of all 18 atoms:
Na (0.000, 0.000, 0.000)
Na (0.000, 0.000, 0.500)
Np (0.333, 0.667, 0.250)
Np (0.667, 0.333, 0.750)
Zn (0.333, 0.667, 0.750)
Zn (0.667, 0.333, 0.250)
F (0.030, 0.366, 0.632)
F (0.030, 0.664, 0.868)
F (0.336, 0.366, 0.868)
F (0.336, 0.970, 0.632)
F (0.366, 0.030, 0.132)
F (0.366, 0.336, 0.368)
F (0.634, 0.664, 0.632)
F (0.634, 0.970, 0.868)
F (0.664, 0.030, 0.368)
F (0.664, 0.634, 0.132)
F (0.970, 0.336, 0.132)
F (0.970, 0.634, 0.368)

Calculated values
VASP energy, eV for the cell shown: -104.87
Total magnetization, Bohr magnetons per cell: 8.0



Record 5
First-principles (PBE) data for a relaxed structure of NaO2F8, as listed in the Alexandria database.

a = 7.122 Å, b = 7.122 Å, c = 9.881 Å
α = 120.96°, β = 120.96°, γ = 59.47°
Fractional coordinates of all 22 atoms:
Na (0.205, 0.795, 0.750)
Na (0.795, 0.205, 0.250)
O (0.225, 0.231, 0.073)
O (0.231, 0.225, 0.573)
O (0.769, 0.775, 0.427)
O (0.775, 0.769, 0.927)
F (0.035, 0.340, 0.124)
F (0.087, 0.680, 0.462)
F (0.090, 0.206, 0.864)
F (0.206, 0.090, 0.364)
F (0.315, 0.439, 0.767)
F (0.320, 0.913, 0.038)
F (0.340, 0.035, 0.624)
F (0.439, 0.315, 0.267)
F (0.561, 0.685, 0.733)
F (0.660, 0.965, 0.376)
F (0.680, 0.087, 0.962)
F (0.685, 0.561, 0.233)
F (0.794, 0.910, 0.636)
F (0.910, 0.794, 0.136)
F (0.913, 0.320, 0.538)
F (0.965, 0.660, 0.876)

Calculated values
VASP energy, eV for the cell shown: -59.16
Total magnetization, Bohr magnetons per cell: 2.0



Record 6
First-principles (PBE) data for a relaxed structure of Na2OF, as listed in the Alexandria database.

a = 6.356 Å, b = 6.356 Å, c = 6.356 Å
α = 29.00°, β = 29.00°, γ = 29.00°
Fractional coordinates of all 4 atoms:
Na (0.000, 0.000, 0.000)
Na (0.159, 0.159, 0.159)
O (0.580, 0.580, 0.580)
F (0.412, 0.412, 0.412)

Calculated values
VASP energy, eV for the cell shown: -16.15
Total magnetization, Bohr magnetons per cell: 1.0
Offset from the most stable computed form, meV per atom: 0



Record 7
First-principles (PBE) data for a relaxed structure of Na4OF2, as listed in the Alexandria database.

a = 6.934 Å, b = 6.934 Å, c = 6.934 Å
α = 143.34°, β = 143.34°, γ = 52.81°
Fractional coordinates of all 7 atoms:
Na (0.000, 0.500, 0.500)
Na (0.178, 0.178, 0.000)
Na (0.500, 0.000, 0.500)
Na (0.822, 0.822, 0.000)
O (0.000, 0.000, 0.000)
F (0.352, 0.352, 0.000)
F (0.648, 0.648, 0.000)

Calculated values
VASP energy, eV for the cell shown: -27.26
Total magnetization, Bohr magnetons per cell: 0.0
Offset from the most stable computed form, meV per atom: 102



Record 8
First-principles (PBE) data for a relaxed structure of Na4OF2, as listed in the Alexandria database.

a = 6.383 Å, b = 6.383 Å, c = 5.661 Å
α = 113.20°, β = 113.20°, γ = 32.20°
Fractional coordinates of all 7 atoms:
Na (0.116, 0.116, 0.468)
Na (0.368, 0.368, 0.083)
Na (0.632, 0.632, 0.917)
Na (0.884, 0.884, 0.532)
O (0.500, 0.500, 0.500)
F (0.201, 0.201, 0.181)
F (0.799, 0.799, 0.819)

Calculated values
VASP energy, eV for the cell shown: -27.98
Total magnetization, Bohr magnetons per cell: 0.0
Offset from the most stable computed form, meV per atom: 0



Record 9
First-principles (PBE) data for a relaxed structure of NaOF, as listed in the Alexandria database.

a = 3.384 Å, b = 3.398 Å, c = 4.293 Å
α = 72.51°, β = 67.69°, γ = 89.94°
Fractional coordinates of all 3 atoms:
Na (0.000, 0.000, 0.000)
O (0.493, 0.498, 0.015)
F (0.313, 0.491, 0.399)

Calculated values
VASP energy, eV for the cell shown: -11.18
Total magnetization, Bohr magnetons per cell: 0.0
Offset from the most stable computed form, meV per atom: 743



Record 10
First-principles (PBE) data for a relaxed structure of NaOF, as listed in the Alexandria database.

a = 4.206 Å, b = 4.470 Å, c = 5.702 Å
α = 90.92°, β = 111.36°, γ = 90.03°
Fractional coordinates of all 6 atoms:
Na (0.217, 0.246, 0.433)
Na (0.783, 0.754, 0.567)
O (0.492, 0.635, 0.977)
O (0.508, 0.365, 0.023)
F (0.207, 0.747, 0.414)
F (0.793, 0.253, 0.586)

Calculated values
VASP energy, eV for the cell shown: -26.48
Total magnetization, Bohr magnetons per cell: 1.9
Offset from the most stable computed form, meV per atom: 55



Record 11
First-principles (PBE) data for a relaxed structure of NaOF4, as listed in the Alexandria database.

a = 5.534 Å, b = 5.534 Å, c = 7.685 Å
α = 108.92°, β = 108.92°, γ = 80.35°
Fractional coordinates of all 12 atoms:
Na (0.067, 0.933, 0.750)
Na (0.933, 0.067, 0.250)
O (0.432, 0.568, 0.250)
O (0.568, 0.432, 0.750)
F (0.130, 0.852, 0.465)
F (0.148, 0.870, 0.035)
F (0.296, 0.406, 0.686)
F (0.406, 0.296, 0.186)
F (0.594, 0.704, 0.814)
F (0.704, 0.594, 0.314)
F (0.852, 0.130, 0.965)
F (0.870, 0.148, 0.535)

Calculated values
VASP energy, eV for the cell shown: -37.40
Total magnetization, Bohr magnetons per cell: 1.9



Record 12
First-principles (PBE) data for a relaxed structure of Na2O2F, as listed in the Alexandria database.

a = 6.346 Å, b = 6.346 Å, c = 3.060 Å
α = 90.00°, β = 90.00°, γ = 90.00°
Fractional coordinates of all 10 atoms:
Na (0.217, 0.283, 0.000)
Na (0.283, 0.783, 0.000)
Na (0.717, 0.217, 0.000)
Na (0.783, 0.717, 0.000)
O (0.076, 0.576, 0.500)
O (0.424, 0.076, 0.500)
O (0.576, 0.924, 0.500)
O (0.924, 0.424, 0.500)
F (0.000, 0.000, 0.500)
F (0.500, 0.500, 0.500)

Calculated values
VASP energy, eV for the cell shown: -42.55
Total magnetization, Bohr magnetons per cell: 2.0



Record 13
First-principles (PBE) data for a relaxed structure of Na3OF, as listed in the Alexandria database.

a = 3.564 Å, b = 5.959 Å, c = 5.959 Å
α = 67.61°, β = 90.00°, γ = 90.00°
Fractional coordinates of all 5 atoms:
Na (0.000, 0.000, 0.000)
Na (0.500, 0.056, 0.465)
Na (0.500, 0.465, 0.056)
O (0.000, 0.222, 0.222)
F (0.500, 0.868, 0.868)

Calculated values
VASP energy, eV for the cell shown: -19.18
Total magnetization, Bohr magnetons per cell: 0.0
Offset from the most stable computed form, meV per atom: 30



Record 14
First-principles (PBE) data for a relaxed structure of Na6O3F, as listed in the Alexandria database.

a = 6.208 Å, b = 6.208 Å, c = 6.208 Å
α = 57.05°, β = 57.05°, γ = 57.05°
Fractional coordinates of all 10 atoms:
Na (0.003, 0.297, 0.700)
Na (0.202, 0.791, 0.513)
Na (0.297, 0.700, 0.003)
Na (0.513, 0.202, 0.791)
Na (0.700, 0.003, 0.297)
Na (0.791, 0.513, 0.202)
O (0.400, 0.400, 0.400)
O (0.605, 0.605, 0.605)
O (0.899, 0.899, 0.899)
F (0.111, 0.111, 0.111)

Calculated values
VASP energy, eV for the cell shown: -38.77
Total magnetization, Bohr magnetons per cell: 1.0



Record 15
First-principles (PBE) data for a relaxed structure of Na12O3F5, as listed in the Alexandria database.

a = 11.901 Å, b = 11.901 Å, c = 11.901 Å
α = 109.47°, β = 109.47°, γ = 109.47°
Fractional coordinates of all 80 atoms:
Na (0.049, 0.224, 0.138)
Na (0.049, 0.325, 0.911)
Na (0.086, 0.724, 0.675)
Na (0.086, 0.862, 0.411)
Na (0.089, 0.638, 0.414)
Na (0.089, 0.951, 0.675)
Na (0.138, 0.049, 0.224)
Na (0.138, 0.589, 0.914)
Na (0.175, 0.224, 0.586)
Na (0.175, 0.451, 0.589)
Na (0.224, 0.138, 0.049)
Na (0.224, 0.586, 0.175)
Na (0.276, 0.325, 0.914)
Na (0.276, 0.451, 0.362)
Na (0.325, 0.911, 0.049)
Na (0.325, 0.914, 0.276)
Na (0.362, 0.276, 0.451)
Na (0.362, 0.586, 0.911)
Na (0.411, 0.086, 0.862)
Na (0.411, 0.825, 0.549)
Na (0.414, 0.089, 0.638)
Na (0.414, 0.825, 0.776)
Na (0.451, 0.362, 0.276)
Na (0.451, 0.589, 0.175)
Na (0.549, 0.411, 0.825)
Na (0.549, 0.638, 0.724)
Na (0.586, 0.175, 0.224)
Na (0.586, 0.911, 0.362)
Na (0.589, 0.175, 0.451)
Na (0.589, 0.914, 0.138)
Na (0.638, 0.414, 0.089)
Na (0.638, 0.724, 0.549)
Na (0.675, 0.086, 0.724)
Na (0.675, 0.089, 0.951)
Na (0.724, 0.549, 0.638)
Na (0.724, 0.675, 0.086)
Na (0.776, 0.414, 0.825)
Na (0.776, 0.862, 0.951)
Na (0.825, 0.549, 0.411)
Na (0.825, 0.776, 0.414)
Na (0.862, 0.411, 0.086)
Na (0.862, 0.951, 0.776)
Na (0.911, 0.049, 0.325)
Na (0.911, 0.362, 0.586)
Na (0.914, 0.138, 0.589)
Na (0.914, 0.276, 0.325)
Na (0.951, 0.675, 0.089)
Na (0.951, 0.776, 0.862)
O (0.125, 0.250, 0.375)
O (0.125, 0.375, 0.750)
O (0.250, 0.375, 0.125)
O (0.250, 0.875, 0.625)
O (0.375, 0.125, 0.250)
O (0.375, 0.750, 0.125)
O (0.625, 0.250, 0.875)
O (0.625, 0.875, 0.750)
O (0.750, 0.125, 0.375)
O (0.750, 0.625, 0.875)
O (0.875, 0.625, 0.250)
O (0.875, 0.750, 0.625)
F (0.000, 0.000, 0.000)
F (0.000, 0.000, 0.500)
F (0.000, 0.500, 0.000)
F (0.000, 0.500, 0.500)
F (0.125, 0.750, 0.875)
F (0.125, 0.875, 0.250)
F (0.250, 0.125, 0.875)
F (0.250, 0.625, 0.375)
F (0.375, 0.250, 0.625)
F (0.375, 0.625, 0.750)
F (0.500, 0.000, 0.000)
F (0.500, 0.000, 0.500)
F (0.500, 0.500, 0.000)
F (0.500, 0.500, 0.500)
F (0.625, 0.375, 0.250)
F (0.625, 0.750, 0.375)
F (0.750, 0.375, 0.625)
F (0.750, 0.875, 0.125)
F (0.875, 0.125, 0.750)
F (0.875, 0.250, 0.125)

Calculated values
VASP energy, eV for the cell shown: -302.23
Total magnetization, Bohr magnetons per cell: 0.0



Record 16
First-principles (PBE) data for a relaxed structure of Na2OF, as listed in the Alexandria database.

a = 4.103 Å, b = 4.103 Å, c = 4.103 Å
α = 60.00°, β = 60.00°, γ = 60.00°
Fractional coordinates of all 4 atoms:
Na (0.250, 0.250, 0.250)
Na (0.750, 0.750, 0.750)
O (0.000, 0.000, 0.000)
F (0.500, 0.500, 0.500)

Calculated values
VASP energy, eV for the cell shown: -15.46
Total magnetization, Bohr magnetons per cell: 1.0
Offset from the most stable computed form, meV per atom: 171



Record 17
First-principles (PBE) data for a relaxed structure of Na3OF, as listed in the Alexandria database.

a = 4.407 Å, b = 4.407 Å, c = 4.407 Å
α = 90.00°, β = 90.00°, γ = 90.00°
Fractional coordinates of all 5 atoms:
Na (0.000, 0.000, 0.500)
Na (0.000, 0.500, 0.000)
Na (0.500, 0.000, 0.000)
O (0.000, 0.000, 0.000)
F (0.500, 0.500, 0.500)

Calculated values
VASP energy, eV for the cell shown: -18.93
Total magnetization, Bohr magnetons per cell: 0.0
Offset from the most stable computed form, meV per atom: 78



Record 18
First-principles (PBE) data for a relaxed structure of Na4O3F4, as listed in the Alexandria database.

a = 8.919 Å, b = 5.567 Å, c = 5.567 Å
α = 43.87°, β = 90.00°, γ = 90.00°
Fractional coordinates of all 11 atoms:
Na (0.000, 0.000, 0.000)
Na (0.249, 0.582, 0.582)
Na (0.500, 0.002, 0.002)
Na (0.751, 0.582, 0.582)
O (0.376, 0.320, 0.320)
O (0.500, 0.255, 0.255)
O (0.624, 0.320, 0.320)
F (0.000, 0.583, 0.583)
F (0.251, 0.997, 0.997)
F (0.500, 0.607, 0.607)
F (0.749, 0.997, 0.997)

Calculated values
VASP energy, eV for the cell shown: -46.76
Total magnetization, Bohr magnetons per cell: 0.2



Record 19
First-principles (PBE) data for a relaxed structure of NaOF, as listed in the Alexandria database.

a = 3.243 Å, b = 3.245 Å, c = 9.148 Å
α = 99.50°, β = 96.34°, γ = 90.01°
Fractional coordinates of all 6 atoms:
Na (0.000, 0.000, 0.000)
Na (0.419, 0.381, 0.739)
O (0.284, 0.055, 0.429)
O (0.375, 0.133, 0.308)
F (0.501, 0.501, 0.002)
F (0.918, 0.880, 0.738)

Calculated values
VASP energy, eV for the cell shown: -26.81
Total magnetization, Bohr magnetons per cell: 1.9
Offset from the most stable computed form, meV per atom: 0



Record 20
First-principles (PBE) data for a relaxed structure of NaOF2, as listed in the Alexandria database.

a = 4.230 Å, b = 4.230 Å, c = 4.230 Å
α = 136.07°, β = 118.39°, γ = 78.72°
Fractional coordinates of all 4 atoms:
Na (0.000, 0.000, 0.000)
O (0.500, 0.500, 0.000)
F (0.310, 0.810, 0.500)
F (0.690, 0.190, 0.500)

Calculated values
VASP energy, eV for the cell shown: -12.77
Total magnetization, Bohr magnetons per cell: 1.0
Offset from the most stable computed form, meV per atom: 278